# Ti2Mn5CrB2

A geometry-optimized Ti2Mn5CrB2 structure (GGA-PBE, Alexandria).

Cell lengths 2.9209, 8.6403, 8.6403 Å; angles 90.00, 90.00, 90.00 degrees
Closest atoms and distances in Å follow each position.
Fractional coordinates of all 20 atoms:
Ti (0.0000, 0.6716, 0.1716)  3 B 2.50-2.59, 10 Mn 2.56-2.73
Ti (0.0000, 0.3283, 0.8284)  3 B 2.50-2.59, 10 Mn 2.56-2.73
Ti (0.0000, 0.1716, 0.3283)  3 B 2.50-2.59, 10 Mn 2.56-2.73
Ti (0.0000, 0.8284, 0.6716)  3 B 2.50-2.59, 10 Mn 2.56-2.73
Mn (0.5000, 0.2104, 0.0682)  2 B 2.10
Mn (0.5000, 0.7896, 0.9318)  2 B 2.10
Mn (0.5000, 0.0682, 0.7896)  2 B 2.10
Mn (0.5000, 0.7104, 0.4318)  2 B 2.10
Mn (0.5000, 0.9318, 0.2104)  2 B 2.10
Mn (0.5000, 0.2896, 0.5682)  2 B 2.10
Mn (0.5000, 0.5682, 0.7104)  2 B 2.10
Mn (0.5000, 0.4318, 0.2896)  2 B 2.10
Mn (0.5000, 0.5000, 0.0000)  4 B 2.10
Mn (0.5000, 0.0000, 0.5000)  4 B 2.10
Cr (0.0000, 0.0000, 0.0000)  8 Mn 2.40
Cr (0.0000, 0.5000, 0.5000)  8 Mn 2.40
B (0.0000, 0.1240, 0.6240)  6 Mn 2.10
B (0.0000, 0.8760, 0.3760)  6 Mn 2.10
B (0.0000, 0.6240, 0.8760)  6 Mn 2.10
B (0.0000, 0.3760, 0.1240)  6 Mn 2.10

**Fermi-level density of states**: 0.6309 states/eV/atom
**ΔE_f**: -0.380 eV/atom
**Crystal system**: tetragonal